(1)
Entry from Alexandria via LeMat-Bulk: an optimized crystal structure of Zr5Re4 (PBE).

The formation energy from the elements comes out at 0.027 eV/atom. Its total energy is -10.2547 eV/atom. The polymorph energy (0 for the lowest one) is 0 meV/atom. For the density, the calculation gives 12.0 g/cm3.

It has space group I4/mmm (No. 139), with a = 10.206 Å, b = 10.206 Å, c = 3.184 Å, α = 90.00°, β = 90.00° and γ = 90.00°. The asymmetric unit holds Zr at (0.000, 0.000, 0.000), Zr at (0.169, 0.169, 0.500) and Re at (0.000, 0.349, 0.000).


(2)
Entry from Alexandria via LeMat-Bulk: an optimized crystal structure of Nd2ScGa3Pt4 (PBE).

The formation energy from the elements comes out at -1.012 eV/atom. Its total energy is -5.9229 eV/atom. For the density, the calculation gives 11.0 g/cm3.

It has space group P-4m2 (No. 115), with a = 4.182 Å, b = 4.182 Å, c = 11.387 Å, α = 90.00°, β = 90.00° and γ = 90.00°. The asymmetric unit holds Nd at (0.000, 0.500, 0.237), Sc at (0.000, 0.000, 0.500), Ga at (0.000, 0.500, 0.871), Ga at (0.500, 0.500, 0.500), Pt at (0.000, 0.000, 0.000), Pt at (0.000, 0.500, 0.649) and Pt at (0.500, 0.500, 0.000).